The following is a PBEsol calculation of Rb3SiB after structural relaxation, from the Alexandria database.

Symmetry = Pm-3m, No. 221
E_tot = -9.5 eV/cell
E_form (uncorrected) = 1.26 eV per atom

```
Rb3SiB
1.0
6.131 0.000 0.000
0.000 6.131 0.000
0.000 0.000 6.131
Rb Si B
3 1 1
Direct
0.000 0.000 0.500
0.000 0.500 0.000
0.500 0.000 0.000
0.500 0.500 0.500
0.000 0.000 0.000
```

=====

The following is a PBEsol calculation of LiCd2Pb after structural relaxation, from the Alexandria database.

Symmetry = R3m, No. 160
ΔH_f (0 K) = -0.05 eV per atom
E_tot = -8.6 eV/cell

```
LiCd2Pb
1.0
1.659 0.958 9.445
-1.659 0.958 9.445
0.000 -1.916 9.445
Li Cd Pb
1 2 1
Direct
0.000 0.000 0.000
0.257 0.257 0.257
0.507 0.507 0.507
0.750 0.750 0.750
```

=====

The following is a PBEsol calculation of BaInRh2 after structural relaxation, from the Alexandria database.

Symmetry = Imm2, No. 44
ΔH_f (0 K) = 0.09 eV per atom
E_tot = -21.1 eV/cell

```
BaInRh2
1.0
-1.556 2.467 5.362
1.556 -2.467 5.362
1.556 2.467 -5.362
Ba In Rh
1 1 2
Direct
0.000 0.000 0.000
0.290 0.790 0.500
0.517 0.517 0.000
0.723 0.223 0.500
```